Ca6CuHg5 | PBE | relaxed

```
Ca6CuHg5
1.0
-1.481 -1.212 5.021
1.255 -7.197 -1.368
6.871 0.255 4.963
Ca Hg Cu
6 5 1
Cartesian
1.955 -6.358 4.792
-0.436 -2.356 2.178
4.689 -1.798 3.824
1.318 -2.701 5.487
0.209 -6.054 1.475
5.327 -5.454 3.130
2.427 -3.918 2.645
1.815 -0.317 3.334
0.627 -3.599 -0.684
3.575 -0.641 6.650
4.217 -4.238 5.971
0.000 0.000 0.000
```

Calculated density = 6.76 g/cm3
Magnetic moment = 0.00 μB/atom
Total DFT energy (no corrections) = -23.12 eV/cell
N(E_F) = 7.806 states/eV/f.u.
Formation enthalpy at 0 K = -459 meV per atom
Space-group type = Cmmm, No. 65

Pm2CuRh3 | PBE | relaxed

```
Pm2CuRh3
1.0
4.873 -0.149 -2.570
-3.097 4.553 -0.227
-0.352 0.017 5.235
Rh Pm Cu
3 2 1
Cartesian
2.261 -0.066 1.332
-0.176 0.009 2.617
0.712 2.211 1.219
2.436 1.588 -1.382
-1.012 2.834 3.820
0.000 0.000 0.000
```

Calculated density = 10.02 g/cm3
Magnetic moment = 0.00 μB/atom
Total DFT energy (no corrections) = -39.17 eV/cell
N(E_F) = 4.466 states/eV/f.u.
Formation enthalpy at 0 K = -587 meV per atom
Space-group type = R-3m, No. 166

ZrTa2Fe | PBE | relaxed

```
ZrTa2Fe
1.0
5.380 -0.037 -0.032
-2.536 4.745 -0.032
0.543 0.898 2.726
Ta Fe Zr
2 1 1
Cartesian
0.000 0.000 0.000
1.422 2.354 -0.032
-0.997 2.822 1.347
2.961 0.431 1.347
```

Calculated density = 12.14 g/cm3
Magnetic moment = 0.20 μB/atom
Relative energy among the computed polymorphs = 20.4 kJ per mole of atoms
Total DFT energy (no corrections) = -39.98 eV/cell
N(E_F) = 4.994 states/eV/f.u.
Formation enthalpy at 0 K = 183 meV per atom
Space-group type = C2/m, No. 12

NaPm2Si | PBE | relaxed

```
NaPm2Si
1.0
4.226 0.000 0.000
0.000 4.955 0.000
0.000 0.000 4.955
Si Na Pm
1 1 2
Cartesian
2.113 2.477 2.477
2.113 0.000 0.000
0.000 0.000 2.477
0.000 2.477 0.000
```

Calculated density = 5.46 g/cm3
Raw formation energy = -0.57 eV/f.u.
Magnetic moment = 0.00 μB/atom
Total DFT energy (no corrections) = -16.81 eV/cell
N(E_F) = 3.132 states/eV/f.u.
Space-group type = P4/mmm, No. 123

LiGa2Ag2 | PBE | relaxed

```
LiGa2Ag2
1.0
4.342 0.000 0.000
0.000 5.772 0.000
-2.171 0.000 6.798
Ga Li Ag
4 2 4
Cartesian
2.171 4.637 6.671
0.000 4.820 2.494
0.000 1.751 0.127
2.171 1.934 4.304
2.171 3.320 1.413
0.000 0.434 5.385
2.171 0.456 1.399
0.000 1.973 2.796
0.000 3.342 5.399
2.171 4.859 4.002
```

Calculated density = 7.06 g/cm3
Magnetic moment = 0.00 μB/atom
Relative energy among the computed polymorphs = 1.8 kJ per mole of atoms
Total DFT energy (no corrections) = -28.79 eV/cell
N(E_F) = 1.196 states/eV/f.u.
Formation enthalpy at 0 K = -145 meV per atom
Space-group type = Cmc2_1, No. 36

La2Pr4Er3 | PBE | relaxed

```
La2Pr4Er3
1.0
3.651 0.000 0.000
-1.825 3.161 0.000
0.000 0.000 27.349
Pr La Er
4 2 3
Cartesian
1.825 1.054 11.787
1.825 1.054 6.047
0.000 0.000 20.721
0.000 0.000 14.945
1.825 1.054 23.932
1.825 1.054 2.372
0.000 0.000 26.860
0.000 0.000 8.877
1.825 1.054 17.842
```

Calculated density = 7.07 g/cm3
Magnetic moment = 0.00 μB/atom
Relative energy among the computed polymorphs = 2.8 kJ per mole of atoms
Total DFT energy (no corrections) = -42.17 eV/cell
N(E_F) = 16.146 states/eV/f.u.
Formation enthalpy at 0 K = 54 meV per atom
Space-group type = P3m1, No. 156

CsHg9Pt2 | PBE | relaxed

```
CsHg9Pt2
1.0
4.422 0.000 0.000
0.000 8.084 -4.667
0.000 0.000 9.334
Hg Pt Cs
9 2 1
Cartesian
2.211 6.426 1.797
2.211 1.657 2.871
0.000 0.000 4.667
2.211 3.315 0.000
2.211 6.426 -1.797
0.000 4.042 2.334
2.211 4.769 4.667
2.211 1.657 6.464
0.000 4.042 -2.334
0.000 2.695 4.667
0.000 5.389 0.000
0.000 0.000 0.000
```

Calculated density = 11.59 g/cm3
Magnetic moment = 0.00 μB/atom
Total DFT energy (no corrections) = -16.51 eV/cell
N(E_F) = 5.814 states/eV/f.u.
Formation enthalpy at 0 K = -72 meV per atom
Space-group type = P6/mmm, No. 191

KHfMg6O7 | PBE | relaxed

```
KHfMg6O7
1.0
4.533 0.000 0.000
0.000 4.533 0.000
0.000 0.000 9.133
K O Hf Mg
1 7 1 6
Cartesian
0.000 0.000 0.087
0.000 0.000 2.562
2.266 0.000 4.743
2.266 2.266 6.840
2.266 0.000 8.997
0.000 2.266 8.997
0.000 2.266 4.743
0.000 0.000 6.644
0.000 0.000 4.609
0.000 2.266 2.038
2.266 0.000 6.963
2.266 2.266 4.738
2.266 0.000 2.038
0.000 2.266 6.963
2.266 2.266 8.955
```

Calculated density = 4.21 g/cm3
Raw formation energy = -30.91 eV/f.u.
Magnetic moment = 0.00 μB/atom
Relative energy among the computed polymorphs = 21.9 kJ per mole of atoms
Total DFT energy (no corrections) = -86.24 eV/cell
N(E_F) = 3.532 states/eV/f.u.
Space-group type = P4mm, No. 99

VPd3 | PBE | relaxed

```
VPd3
1.0
9.104 0.010 0.006
8.683 2.736 0.006
8.683 1.341 2.385
V Pd
1 3
Cartesian
0.000 0.000 0.000
13.235 2.044 1.199
19.724 3.045 1.786
6.747 1.042 0.611
```

Calculated density = 10.41 g/cm3
Magnetic moment = 0.00 μB/atom
Total DFT energy (no corrections) = -25.43 eV/cell
N(E_F) = 1.760 states/eV/f.u.
Formation enthalpy at 0 K = -184 meV per atom
Space-group type = R-3m, No. 166

CdS2 | PBE | relaxed

```
CdS2
1.0
-3.630 4.721 -4.117
0.418 -3.042 -3.857
-2.778 -7.921 5.947
S Cd
8 4
Cartesian
-3.134 -0.280 -0.783
-2.378 -9.002 1.205
-1.676 -0.481 -2.289
-4.313 -5.762 0.262
-1.198 -3.520 0.160
-3.611 2.759 -3.232
-2.855 -5.963 -1.244
-4.791 -2.722 -2.188
-4.701 -3.158 0.411
-3.103 -0.719 -4.491
-1.288 -3.084 -2.438
-2.886 -5.524 2.464
```

Calculated density = 4.44 g/cm3
Raw formation energy = -0.79 eV/f.u.
Magnetic moment = 0.00 μB/atom
Total DFT energy (no corrections) = -39.83 eV/cell
Space-group type = C2/c, No. 15

K12Rb3Au5 | PBE | relaxed

```
K12Rb3Au5
1.0
-11.536 -10.333 -10.885
17.871 -5.690 -2.566
-4.788 -2.242 18.176
K Rb Au
48 12 20
Cartesian
-2.462 -12.178 -2.662
-6.336 -7.586 -7.658
5.768 -3.398 -0.418
14.714 -6.231 -1.657
-0.267 -7.953 5.297
2.085 -11.602 4.171
9.193 -11.763 7.765
8.983 -8.807 1.791
13.230 -7.123 4.085
1.885 -10.890 -5.651
1.650 -15.206 -2.920
0.270 -15.801 2.886
-1.788 -11.217 1.942
-7.646 -6.502 -3.039
4.009 -6.087 7.388
7.802 -13.277 3.481
3.335 -7.048 2.784
3.461 -4.197 13.759
-7.436 -9.458 2.935
9.618 -6.023 -2.006
-8.071 -12.242 6.732
6.054 -9.236 -5.605
1.814 -10.312 -0.572
8.828 -5.935 6.397
-5.881 -5.981 6.052
4.444 -11.831 9.057
7.213 -4.899 10.930
-6.255 -4.988 1.245
-11.683 -11.142 0.640
7.883 -10.679 12.384
-1.914 -14.068 -9.034
-3.666 -3.988 10.206
-7.281 -12.330 -1.672
-13.167 -12.034 6.383
-4.221 -14.867 5.144
-2.897 -6.434 -4.331
2.171 -6.824 -3.778
5.213 -14.277 -5.481
-0.103 -3.059 7.646
6.899 -13.634 -11.201
-0.624 -11.441 8.504
-4.507 -9.029 10.330
1.277 -2.464 1.839
-5.666 -13.366 -6.205
-0.538 -6.663 0.555
-0.338 -7.375 10.377
7.428 -12.284 -1.326
-5.352 -4.631 15.926
10.604 -7.952 10.027
-4.099 -10.274 5.867
2.711 -13.589 -9.177
-1.164 -4.676 13.902
-4.538 -8.721 -0.628
-9.057 -10.313 -5.301
-2.446 -4.135 3.774
-2.549 -10.164 -6.854
4.096 -8.101 11.580
6.085 -9.544 5.354
5.646 -7.992 -1.141
3.993 -14.130 0.952
-10.608 -10.423 7.420
0.722 -12.147 -2.951
-2.516 -14.279 2.504
4.063 -3.986 2.221
-5.768 -5.167 -5.443
12.155 -7.842 -2.694
6.542 -3.966 7.805
3.168 -8.011 -6.725
7.230 -11.997 -4.504
-5.683 -6.268 9.230
-2.394 -1.121 9.088
-8.162 -6.288 3.646
-0.457 -5.578 -2.451
0.774 -9.133 2.363
8.936 -2.845 -1.283
10.166 -6.400 3.531
0.000 0.000 0.000
2.004 -12.687 7.177
-8.619 -11.865 1.194
0.825 -6.118 7.677
```

Calculated density = 2.18 g/cm3
Magnetic moment = 0.00 μB/atom
Total DFT energy (no corrections) = -133.15 eV/cell
N(E_F) = 18.128 states/eV/f.u.
Formation enthalpy at 0 K = -41 meV per atom
Space-group type = Ia-3d, No. 230

Tl2Cd3Ga2 | PBE | relaxed

```
Tl2Cd3Ga2
1.0
4.672 0.000 0.000
-2.336 5.339 -1.081
0.000 -0.214 7.079
Cd Ga Tl
3 2 2
Cartesian
0.000 3.198 0.294
0.000 0.000 0.000
2.336 1.927 5.704
2.336 4.259 1.544
0.000 0.866 4.454
0.000 3.890 3.824
2.336 1.235 2.174
```

Calculated density = 8.38 g/cm3
Magnetic moment = 0.00 μB/atom
Total DFT energy (no corrections) = -13.15 eV/cell
N(E_F) = 2.669 states/eV/f.u.
Formation enthalpy at 0 K = 55 meV per atom
Space-group type = C2/m, No. 12